No. 1
LiHo2TmTl4 after structural relaxation, computed with PBE-GGA.

calculated total energy: -3.43 eV/atom

The structure in CIF format:
```
data_LiHo2TmTl4
_symmetry_space_group_name_H-M 'R -3 m'
_symmetry_Int_Tables_number 166
_symmetry_space_group_name_Hall '-R 3 2"'
_cell_length_a 5.2105
_cell_length_b 5.2105
_cell_length_c 26.2634
_cell_angle_alpha 90.00
_cell_angle_beta 90.00
_cell_angle_gamma 120.00
loop_
_atom_site_label
_atom_site_fract_x
_atom_site_fract_y
_atom_site_fract_z
Li1 0.0000 0.0000 0.0000
Ho1 0.0000 0.0000 0.2541
Tm1 0.0000 0.0000 0.5000
Tl1 0.0000 0.0000 0.1232
Tl2 0.0000 0.0000 0.3730
```

=====

No. 2
Li2Ho2TmTl2 after structural relaxation, computed with PBE-GGA.

calculated total energy: -3.33 eV/atom

The structure in CIF format:
```
data_Li2Ho2TmTl2
_symmetry_space_group_name_H-M 'R -3 m'
_symmetry_Int_Tables_number 166
_symmetry_space_group_name_Hall '-R 3 2"'
_cell_length_a 4.7848
_cell_length_b 4.7848
_cell_length_c 26.6921
_cell_angle_alpha 90.00
_cell_angle_beta 90.00
_cell_angle_gamma 120.00
loop_
_atom_site_label
_atom_site_fract_x
_atom_site_fract_y
_atom_site_fract_z
Li1 0.0000 0.0000 0.1049
Ho1 0.0000 0.0000 0.3734
Tm1 0.0000 0.0000 0.5000
Tl1 0.0000 0.0000 0.2372
```

=====

No. 3
Li2YHo2Tl2 after structural relaxation, computed with PBE-GGA.

calculated total energy: -3.64 eV/atom

The structure in CIF format:
```
data_Li2YHo2Tl2
_symmetry_space_group_name_H-M 'R -3 m'
_symmetry_Int_Tables_number 166
_symmetry_space_group_name_Hall '-R 3 2"'
_cell_length_a 4.8026
_cell_length_b 4.8026
_cell_length_c 26.8365
_cell_angle_alpha 90.00
_cell_angle_beta 90.00
_cell_angle_gamma 120.00
loop_
_atom_site_label
_atom_site_fract_x
_atom_site_fract_y
_atom_site_fract_z
Li1 0.0000 0.0000 0.1015
Y1 0.0000 0.0000 0.5000
Ho1 0.0000 0.0000 0.3726
Tl1 0.0000 0.0000 0.2385
```

=====

No. 4
LiY2HoTl4 after structural relaxation, computed with PBE-GGA.

calculated total energy: -3.95 eV/atom

The structure in CIF format:
```
data_LiY2HoTl4
_symmetry_space_group_name_H-M 'R -3 m'
_symmetry_Int_Tables_number 166
_symmetry_space_group_name_Hall '-R 3 2"'
_cell_length_a 5.2350
_cell_length_b 5.2350
_cell_length_c 26.4362
_cell_angle_alpha 90.00
_cell_angle_beta 90.00
_cell_angle_gamma 120.00
loop_
_atom_site_label
_atom_site_fract_x
_atom_site_fract_y
_atom_site_fract_z
Li1 0.0000 0.0000 0.0000
Y1 0.0000 0.0000 0.2546
Ho1 0.0000 0.0000 0.5000
Tl1 0.0000 0.0000 0.1234
Tl2 0.0000 0.0000 0.3731
```

=====

No. 5
Li2Y2HoTl2 after structural relaxation, computed with PBE-GGA.

calculated total energy: -3.91 eV/atom

The structure in CIF format:
```
data_Li2Y2HoTl2
_symmetry_space_group_name_H-M 'R -3 m'
_symmetry_Int_Tables_number 166
_symmetry_space_group_name_Hall '-R 3 2"'
_cell_length_a 4.7988
_cell_length_b 4.7988
_cell_length_c 27.0797
_cell_angle_alpha 90.00
_cell_angle_beta 90.00
_cell_angle_gamma 120.00
loop_
_atom_site_label
_atom_site_fract_x
_atom_site_fract_y
_atom_site_fract_z
Li1 0.0000 0.0000 0.1041
Y1 0.0000 0.0000 0.3735
Ho1 0.0000 0.0000 0.5000
Tl1 0.0000 0.0000 0.2370
```

=====

No. 6
Li2YHoTl4 after structural relaxation, computed with PBE-GGA.

calculated total energy: -3.36 eV/atom

The structure in CIF format:
```
data_Li2YHoTl4
_symmetry_space_group_name_H-M 'R -3 m'
_symmetry_Int_Tables_number 166
_symmetry_space_group_name_Hall '-R 3 2"'
_cell_length_a 5.1888
_cell_length_b 5.1888
_cell_length_c 25.3134
_cell_angle_alpha 90.00
_cell_angle_beta 90.00
_cell_angle_gamma 120.00
loop_
_atom_site_label
_atom_site_fract_x
_atom_site_fract_y
_atom_site_fract_z
Li1 0.0000 0.0000 0.2499
Y1 0.0000 0.0000 0.0000
Ho1 0.0000 0.0000 0.5000
Tl1 0.0000 0.0000 0.1255
Tl2 0.0000 0.0000 0.3754
```

=====

No. 7
LiHoTlZn after structural relaxation, computed with PBE-GGA.

calculated total energy: -2.81 eV/atom

The structure in CIF format:
```
data_LiHoTlZn
_symmetry_space_group_name_H-M 'F -4 3 m'
_symmetry_Int_Tables_number 216
_symmetry_space_group_name_Hall 'F -4 2 3'
_cell_length_a 7.024
_cell_length_b 7.024
_cell_length_c 7.024
_cell_angle_alpha 90.00
_cell_angle_beta 90.00
_cell_angle_gamma 90.00
loop_
_atom_site_label
_atom_site_fract_x
_atom_site_fract_y
_atom_site_fract_z
Li1 0.000 0.000 0.000
Ho1 0.000 0.000 0.500
Tl1 0.250 0.250 0.250
Zn1 0.250 0.250 0.750
```

=====

No. 8
LiHoZrTl after structural relaxation, computed with PBE-GGA.

calculated total energy: -4.37 eV/atom

The structure in CIF format:
```
data_LiHoZrTl
_symmetry_space_group_name_H-M 'F -4 3 m'
_symmetry_Int_Tables_number 216
_symmetry_space_group_name_Hall 'F -4 2 3'
_cell_length_a 7.196
_cell_length_b 7.196
_cell_length_c 7.196
_cell_angle_alpha 90.00
_cell_angle_beta 90.00
_cell_angle_gamma 90.00
loop_
_atom_site_label
_atom_site_fract_x
_atom_site_fract_y
_atom_site_fract_z
Li1 0.000 0.000 0.000
Ho1 0.250 0.250 0.750
Zr1 0.250 0.250 0.250
Tl1 0.000 0.000 0.500
```

=====

No. 9
Li4HoTm after structural relaxation, computed with PBE-GGA.

calculated total energy: -2.66 eV/atom

The structure in CIF format:
```
data_Li4HoTm
_symmetry_space_group_name_H-M 'F -4 3 m'
_symmetry_Int_Tables_number 216
_symmetry_space_group_name_Hall 'F -4 2 3'
_cell_length_a 8.204
_cell_length_b 8.204
_cell_length_c 8.204
_cell_angle_alpha 90.00
_cell_angle_beta 90.00
_cell_angle_gamma 90.00
loop_
_atom_site_label
_atom_site_fract_x
_atom_site_fract_y
_atom_site_fract_z
Li1 0.125 0.125 0.125
Ho1 0.000 0.000 0.500
Tm1 0.250 0.250 0.750
```

=====

No. 10
LiHo2Tm after structural relaxation, computed with PBE-GGA.

energy above the lowest structure with this stoichiometry: 7.1 kJ per mole of atoms

The structure in CIF format:
```
data_LiHo2Tm
_symmetry_space_group_name_H-M 'P 4/m m m'
_symmetry_Int_Tables_number 123
_symmetry_space_group_name_Hall '-P 4 2'
_cell_length_a 5.496
_cell_length_b 5.496
_cell_length_c 3.746
_cell_angle_alpha 90.00
_cell_angle_beta 90.00
_cell_angle_gamma 90.00
loop_
_atom_site_label
_atom_site_fract_x
_atom_site_fract_y
_atom_site_fract_z
Li1 0.000 0.000 0.000
Ho1 0.000 0.500 0.500
Tm1 0.500 0.500 0.000
```

=====

No. 11
LiHo2Tm after structural relaxation, computed with PBE-GGA.

energy above the lowest structure with this stoichiometry: 9.9 kJ per mole of atoms

The structure in CIF format:
```
data_LiHo2Tm
_symmetry_space_group_name_H-M 'R -3 m'
_symmetry_Int_Tables_number 166
_symmetry_space_group_name_Hall '-R 3 2"'
_cell_length_a 3.4253
_cell_length_b 3.4253
_cell_length_c 36.0962
_cell_angle_alpha 90.00
_cell_angle_beta 90.00
_cell_angle_gamma 120.00
loop_
_atom_site_label
_atom_site_fract_x
_atom_site_fract_y
_atom_site_fract_z
Li1 0.0000 0.0000 0.0000
Ho1 0.0000 0.0000 0.0892
Tm1 0.0000 0.0000 0.5000
```

=====

No. 12
LiHo2Tm after structural relaxation, computed with PBE-GGA.

energy above the lowest structure with this stoichiometry: 9.4 kJ per mole of atoms

The structure in CIF format:
```
data_LiHo2Tm
_symmetry_space_group_name_H-M 'F m -3 m'
_symmetry_Int_Tables_number 225
_symmetry_space_group_name_Hall '-F 4 2 3'
_cell_length_a 7.663
_cell_length_b 7.663
_cell_length_c 7.663
_cell_angle_alpha 90.00
_cell_angle_beta 90.00
_cell_angle_gamma 90.00
loop_
_atom_site_label
_atom_site_fract_x
_atom_site_fract_y
_atom_site_fract_z
Li1 0.000 0.000 0.000
Ho1 0.250 0.250 0.250
Tm1 0.000 0.000 0.500
```

=====

No. 13
Li2HoTm after structural relaxation, computed with PBE-GGA.

calculated total energy: -3.06 eV/atom

The structure in CIF format:
```
data_Li2HoTm
_symmetry_space_group_name_H-M 'P 4/m m m'
_symmetry_Int_Tables_number 123
_symmetry_space_group_name_Hall '-P 4 2'
_cell_length_a 3.673
_cell_length_b 3.673
_cell_length_c 7.343
_cell_angle_alpha 90.00
_cell_angle_beta 90.00
_cell_angle_gamma 90.00
loop_
_atom_site_label
_atom_site_fract_x
_atom_site_fract_y
_atom_site_fract_z
Li1 0.000 0.000 0.249
Ho1 0.500 0.500 0.500
Tm1 0.500 0.500 0.000
```

=====

No. 14
LiHo2Tm after structural relaxation, computed with PBE-GGA.

energy above the lowest structure with this stoichiometry: 1.7 kJ per mole of atoms

The structure in CIF format:
```
data_LiHo2Tm
_symmetry_space_group_name_H-M 'R 3 m'
_symmetry_Int_Tables_number 160
_symmetry_space_group_name_Hall 'R 3 -2"'
_cell_length_a 3.4620
_cell_length_b 3.4620
_cell_length_c 33.3376
_cell_angle_alpha 90.00
_cell_angle_beta 90.00
_cell_angle_gamma 120.00
loop_
_atom_site_label
_atom_site_fract_x
_atom_site_fract_y
_atom_site_fract_z
Li1 0.0000 0.0000 0.0000
Ho1 0.0000 0.0000 0.5843
Ho2 0.0000 0.0000 0.7486
Tm1 0.0000 0.0000 0.1664
```

=====

No. 15
LiHo6Tm after structural relaxation, computed with PBE-GGA.

calculated total energy: -4.07 eV/atom

The structure in CIF format:
```
data_LiHo6Tm
_symmetry_space_group_name_H-M 'P -1'
_symmetry_Int_Tables_number 2
_symmetry_space_group_name_Hall '-P 1'
_cell_length_a 6.222
_cell_length_b 6.224
_cell_length_c 6.224
_cell_angle_alpha 96.02
_cell_angle_beta 95.92
_cell_angle_gamma 95.99
loop_
_atom_site_label
_atom_site_fract_x
_atom_site_fract_y
_atom_site_fract_z
Li1 0.000 0.000 0.000
Ho1 0.048 0.569 0.762
Ho2 0.238 0.952 0.431
Ho3 0.431 0.238 0.952
Tm1 0.500 0.500 0.500
```

=====

No. 16
LiHo2Tm after structural relaxation, computed with PBE-GGA.

energy above the lowest structure with this stoichiometry: 0.0 kJ per mole of atoms

The structure in CIF format:
```
data_LiHo2Tm
_symmetry_space_group_name_H-M 'P 4/m m m'
_symmetry_Int_Tables_number 123
_symmetry_space_group_name_Hall '-P 4 2'
_cell_length_a 3.568
_cell_length_b 3.568
_cell_length_c 8.743
_cell_angle_alpha 90.00
_cell_angle_beta 90.00
_cell_angle_gamma 90.00
loop_
_atom_site_label
_atom_site_fract_x
_atom_site_fract_y
_atom_site_fract_z
Li1 0.000 0.000 0.000
Ho1 0.500 0.500 0.225
Tm1 0.000 0.000 0.500
```

=====

No. 17
Li2HoTm after structural relaxation, computed with PBE-GGA.

calculated total energy: -3.06 eV/atom

The structure in CIF format:
```
data_Li2HoTm
_symmetry_space_group_name_H-M 'F m -3 m'
_symmetry_Int_Tables_number 225
_symmetry_space_group_name_Hall '-F 4 2 3'
_cell_length_a 7.347
_cell_length_b 7.347
_cell_length_c 7.347
_cell_angle_alpha 90.00
_cell_angle_beta 90.00
_cell_angle_gamma 90.00
loop_
_atom_site_label
_atom_site_fract_x
_atom_site_fract_y
_atom_site_fract_z
Li1 0.250 0.250 0.250
Ho1 0.000 0.000 0.000
Tm1 0.000 0.000 0.500
```

=====

No. 18
LiHoW2 after structural relaxation, computed with PBE-GGA.

calculated total energy: -7.39 eV/atom

The structure in CIF format:
```
data_LiHoW2
_symmetry_space_group_name_H-M 'C m m m'
_symmetry_Int_Tables_number 65
_symmetry_space_group_name_Hall '-C 2 2'
_cell_length_a 3.513
_cell_length_b 4.258
_cell_length_c 9.659
_cell_angle_alpha 90.00
_cell_angle_beta 90.00
_cell_angle_gamma 90.00
loop_
_atom_site_label
_atom_site_fract_x
_atom_site_fract_y
_atom_site_fract_z
Li1 0.000 0.000 0.000
Ho1 0.000 0.000 0.500
W1 0.000 0.500 0.238
```

=====

No. 19
LiY5Ho4 after structural relaxation, computed with PBE-GGA.

calculated total energy: -5.21 eV/atom

The structure in CIF format:
```
data_LiY5Ho4
_symmetry_space_group_name_H-M 'P 4/m m m'
_symmetry_Int_Tables_number 123
_symmetry_space_group_name_Hall '-P 4 2'
_cell_length_a 3.568
_cell_length_b 3.568
_cell_length_c 23.953
_cell_angle_alpha 90.00
_cell_angle_beta 90.00
_cell_angle_gamma 90.00
loop_
_atom_site_label
_atom_site_fract_x
_atom_site_fract_y
_atom_site_fract_z
Li1 0.000 0.000 0.000
Y1 0.500 0.500 0.083
Y2 0.500 0.500 0.291
Y3 0.500 0.500 0.500
Ho1 0.000 0.000 0.186
Ho2 0.000 0.000 0.395
```

=====

No. 20
LiY6Ho2 after structural relaxation, computed with PBE-GGA.

calculated total energy: -5.45 eV/atom

The structure in CIF format:
```
data_LiY6Ho2
_symmetry_space_group_name_H-M 'P 42/m n m'
_symmetry_Int_Tables_number 136
_symmetry_space_group_name_Hall '-P 4n 2n'
_cell_length_a 10.482
_cell_length_b 10.482
_cell_length_c 5.092
_cell_angle_alpha 90.00
_cell_angle_beta 90.00
_cell_angle_gamma 90.00
loop_
_atom_site_label
_atom_site_fract_x
_atom_site_fract_y
_atom_site_fract_z
Li1 0.000 0.000 0.000
Y1 0.010 0.332 0.000
Y2 0.155 0.845 0.500
Ho1 0.181 0.181 0.500
```

=====

Ordered N(E_F) results: 13.61, 13.21, 13.91, 13.37, 13.51, 5.37, 8.23, 14.22, 21.19, 4.43, 16.32, 11.65, 3.53, 10.82, 11.50, 5.03, 13.55, 7.24, 13.53, 28.26; unit states/eV/cell.